1.
A plane-wave DFT calculation with GGA-PBE was carried out for a relaxed structure of NaPdICl2.

a b c (Å): 4.940 4.940 5.572
angles (deg): 90.00 90.00 90.00
Positions (direct):
Na1 0.000 0.000 0.000
Pd1 0.500 0.500 0.500
I1 0.500 0.500 0.000
Cl1 0.000 0.500 0.500
Cl2 0.500 0.000 0.500

E_form (uncorrected): -0.7378 eV per atom
calculated density: 4.00 g/cm³
space-group type: P4/mmm
size of the total moment: 0.0 μB/f.u.
uncorrected energy: -3.09 eV per atom

---

2.
A plane-wave DFT calculation with GGA-PBE was carried out for a relaxed structure of Na2Pu2I2Cl5.

a b c (Å): 14.482 14.482 14.482
angles (deg): 158.17 158.17 31.06
Positions (direct):
Na1 0.178 0.178 0.000
Na2 0.822 0.822 0.000
Pu1 0.402 0.402 0.000
Pu2 0.598 0.598 0.000
I1 0.289 0.289 0.000
I2 0.711 0.711 0.000
Cl1 0.110 0.610 0.500
Cl2 0.390 0.890 0.500
Cl3 0.500 0.500 0.000
Cl4 0.610 0.110 0.500
Cl5 0.890 0.390 0.500

E_form (uncorrected): -1.5909 eV per atom
calculated density: 3.82 g/cm³
space-group type: I4/mmm
size of the total moment: 11.0 μB/f.u.
uncorrected energy: -5.56 eV per atom

---

3.
A plane-wave DFT calculation with GGA-PBE was carried out for a relaxed structure of Rb2NaICl2.

a b c (Å): 5.307 5.307 8.113
angles (deg): 90.00 90.00 90.00
Positions (direct):
Rb1 0.000 0.000 0.248
Rb2 0.000 0.000 0.752
Na1 0.500 0.500 0.500
I1 0.500 0.500 0.000
Cl1 0.000 0.500 0.500
Cl2 0.500 0.000 0.500

E_form (uncorrected): -1.6735 eV per atom
calculated density: 2.85 g/cm³
space-group type: P4/mmm
size of the total moment: 0.0 μB/f.u.
uncorrected energy: -3.09 eV per atom

---

4.
A plane-wave DFT calculation with GGA-PBE was carried out for a relaxed structure of Rb2NaI2Cl6.

a b c (Å): 8.422 8.422 9.321
angles (deg): 121.50 121.50 51.05
Positions (direct):
Rb1 0.211 0.211 0.127
Rb2 0.789 0.789 0.873
Na1 0.000 0.000 0.500
I1 0.395 0.395 0.641
I2 0.605 0.605 0.359
Cl1 0.177 0.663 0.225
Cl2 0.196 0.196 0.478
Cl3 0.337 0.823 0.775
Cl4 0.663 0.177 0.225
Cl5 0.804 0.804 0.522
Cl6 0.823 0.337 0.775

E_form (uncorrected): -0.9842 eV per atom
calculated density: 2.62 g/cm³
space-group type: C2/m
size of the total moment: 0.0 μB/f.u.
uncorrected energy: -2.57 eV per atom

---

5.
A plane-wave DFT calculation with GGA-PBE was carried out for a relaxed structure of Rb2Na4I3Cl2.

a b c (Å): 16.389 16.389 16.389
angles (deg): 161.33 161.33 26.52
Positions (direct):
Rb1 0.186 0.186 0.000
Rb2 0.814 0.814 0.000
Na1 0.070 0.570 0.500
Na2 0.430 0.930 0.500
Na3 0.570 0.070 0.500
Na4 0.930 0.430 0.500
I1 0.365 0.365 0.000
I2 0.500 0.500 0.000
I3 0.635 0.635 0.000
Cl1 0.075 0.075 0.000
Cl2 0.925 0.925 0.000

E_form (uncorrected): -1.3233 eV per atom
calculated density: 2.63 g/cm³
space-group type: I4/mmm
size of the total moment: 0.0 μB/f.u.
uncorrected energy: -2.74 eV per atom

---

6.
A plane-wave DFT calculation with GGA-PBE was carried out for a relaxed structure of Rb2NaICl4.

a b c (Å): 8.791 8.791 9.799
angles (deg): 116.37 116.37 90.08
Positions (direct):
Rb1 0.000 0.000 0.000
Rb2 0.000 0.000 0.500
Rb3 0.000 0.500 0.000
Rb4 0.500 0.000 0.500
Na1 0.000 0.500 0.500
Na2 0.500 0.000 0.000
I1 0.500 0.500 0.000
I2 0.500 0.500 0.500
Cl1 0.194 0.246 0.431
Cl2 0.202 0.695 0.442
Cl3 0.246 0.194 0.931
Cl4 0.305 0.798 0.058
Cl5 0.695 0.202 0.942
Cl6 0.754 0.806 0.069
Cl7 0.798 0.305 0.558
Cl8 0.806 0.754 0.569

E_form (uncorrected): -1.2660 eV per atom
calculated density: 2.61 g/cm³
space-group type: C2/c
size of the total moment: 2.0 μB/f.u.
uncorrected energy: -2.79 eV per atom